Record 1
The following is a PBE calculation of crystalline Ho2MgSi2Rh5 at its relaxed geometry, from Alexandria. Values from VASP.

```
&SYSTEM
  ibrav = 0, nat = 20, ntyp = 4
/
ATOMIC_SPECIES
Ho 164.93 Ho.upf
Rh 102.91 Rh.upf
Mg 24.30 Mg.upf
Si 28.09 Si.upf
CELL_PARAMETERS angstrom
3.418 0.000 0.000
0.000 9.863 0.000
0.000 0.000 9.863
ATOMIC_POSITIONS crystal
Ho 0.000 0.174 0.326
Ho 0.000 0.826 0.674
Ho 0.000 0.326 0.826
Ho 0.000 0.674 0.174
Rh 0.500 0.931 0.216
Rh 0.500 0.216 0.069
Rh 0.500 0.431 0.284
Rh 0.500 0.784 0.931
Rh 0.500 0.000 0.500
Rh 0.500 0.716 0.431
Rh 0.500 0.569 0.716
Rh 0.500 0.500 0.000
Rh 0.500 0.069 0.784
Rh 0.500 0.284 0.569
Mg 0.000 0.500 0.500
Mg 0.000 0.000 0.000
Si 0.000 0.125 0.625
Si 0.000 0.625 0.875
Si 0.000 0.875 0.375
Si 0.000 0.375 0.125
```

## Properties
SG   P4/mbm (127)
Density of states at the Fermi level   2.90 states/eV/f.u.
E_tot   -6.791 eV/atom
Energy relative to the elements, uncorrected   -955 meV/atom
Magnetic moment   0.00 μB per formula unit


Record 2
The following is a PBE calculation of crystalline SmHo2MgRh4 at its relaxed geometry, from Alexandria. Values from VASP.

```
&SYSTEM
  ibrav = 0, nat = 8, ntyp = 4
/
ATOMIC_SPECIES
Mg 24.30 Mg.upf
Sm 150.36 Sm.upf
Rh 102.91 Rh.upf
Ho 164.93 Ho.upf
CELL_PARAMETERS angstrom
4.753 0.000 0.000
2.376 4.116 0.000
2.376 1.372 7.813
ATOMIC_POSITIONS crystal
Mg 0.500 0.500 0.500
Sm 0.000 0.000 0.000
Rh 0.622 0.622 0.133
Rh 0.126 0.126 0.623
Rh 0.874 0.874 0.377
Rh 0.378 0.378 0.867
Ho 0.756 0.756 0.731
Ho 0.244 0.244 0.269
```

## Properties
SG   R-3m (166)
Density of states at the Fermi level   2.52 states/eV/f.u.
E_tot   -6.386 eV/atom
Magnetic moment   0.00 μB per formula unit
Formation energy from the elements   -0.777 eV per atom


Record 3
The following is a PBE calculation of crystalline HoMg2SnRh4 at its relaxed geometry, from Alexandria. Values from VASP.

```
&SYSTEM
  ibrav = 0, nat = 8, ntyp = 4
/
ATOMIC_SPECIES
Rh 102.91 Rh.upf
Sn 118.71 Sn.upf
Ho 164.93 Ho.upf
Mg 24.30 Mg.upf
CELL_PARAMETERS angstrom
-4.514 0.426 0.458
-2.160 -2.155 3.384
-1.220 5.333 5.685
ATOMIC_POSITIONS crystal
Rh 0.621 0.621 0.138
Rh 0.128 0.128 0.615
Rh 0.379 0.379 0.862
Rh 0.872 0.872 0.385
Sn 0.500 0.500 0.500
Ho 0.000 0.000 0.000
Mg 0.250 0.250 0.251
Mg 0.750 0.750 0.749
```

## Properties
SG   R-3m (166)
Density of states at the Fermi level   3.01 states/eV/f.u.
E_tot   -5.857 eV/atom
Magnetic moment   0.00 μB per formula unit
Formation energy from the elements   -0.710 eV per atom


Record 4
The following is a PBE calculation of crystalline HoMgSnRh at its relaxed geometry, from Alexandria. Values from VASP.

```
&SYSTEM
  ibrav = 0, nat = 4, ntyp = 4
/
ATOMIC_SPECIES
Sn 118.71 Sn.upf
Mg 24.30 Mg.upf
Ho 164.93 Ho.upf
Rh 102.91 Rh.upf
CELL_PARAMETERS angstrom
4.798 0.000 0.000
2.399 4.156 0.000
2.399 1.385 3.918
ATOMIC_POSITIONS crystal
Sn 0.250 0.250 0.250
Mg 0.000 0.000 0.000
Ho 0.750 0.750 0.750
Rh 0.500 0.500 0.500
```

## Properties
SG   F-43m (216)
Density of states at the Fermi level   0.40 states/eV/f.u.
E_tot   -4.941 eV/atom
Magnetic moment   0.00 μB per formula unit
Formation energy from the elements   -0.560 eV per atom


Record 5
The following is a PBE calculation of crystalline Ho2MgTa2Rh5 at its relaxed geometry, from Alexandria. Values from VASP.

```
&SYSTEM
  ibrav = 0, nat = 20, ntyp = 4
/
ATOMIC_SPECIES
Rh 102.91 Rh.upf
Mg 24.30 Mg.upf
Ho 164.93 Ho.upf
Ta 180.95 Ta.upf
CELL_PARAMETERS angstrom
3.253 0.000 0.000
0.000 10.659 0.000
0.000 0.000 10.659
ATOMIC_POSITIONS crystal
Rh 0.500 0.802 0.947
Rh 0.500 0.553 0.698
Rh 0.500 0.947 0.198
Rh 0.500 0.698 0.447
Rh 0.500 0.500 0.000
Rh 0.500 0.000 0.500
Rh 0.500 0.053 0.802
Rh 0.500 0.302 0.553
Rh 0.500 0.198 0.053
Rh 0.500 0.447 0.302
Mg 0.000 0.000 0.000
Mg 0.000 0.500 0.500
Ho 0.000 0.169 0.331
Ho 0.000 0.331 0.831
Ho 0.000 0.831 0.669
Ho 0.000 0.669 0.169
Ta 0.000 0.862 0.362
Ta 0.000 0.638 0.862
Ta 0.000 0.138 0.638
Ta 0.000 0.362 0.138
```

## Properties
SG   P4/mbm (127)
Density of states at the Fermi level   6.85 states/eV/f.u.
E_tot   -7.562 eV/atom
Magnetic moment   0.00 μB per formula unit
Formation energy from the elements   -0.441 eV per atom


Record 6
The following is a PBE calculation of crystalline Tb2HoMgRh4 at its relaxed geometry, from Alexandria. Values from VASP.

```
&SYSTEM
  ibrav = 0, nat = 8, ntyp = 4
/
ATOMIC_SPECIES
Rh 102.91 Rh.upf
Tb 158.93 Tb.upf
Ho 164.93 Ho.upf
Mg 24.30 Mg.upf
CELL_PARAMETERS angstrom
-4.603 0.723 -0.927
-3.319 -1.942 2.790
-2.554 5.919 5.127
ATOMIC_POSITIONS crystal
Rh 0.876 0.876 0.373
Rh 0.624 0.624 0.128
Rh 0.376 0.376 0.872
Rh 0.124 0.124 0.627
Tb 0.755 0.755 0.735
Tb 0.245 0.245 0.265
Ho 0.000 0.000 0.000
Mg 0.500 0.500 0.500
```

## Properties
SG   R-3m (166)
Density of states at the Fermi level   2.23 states/eV/f.u.
E_tot   -6.405 eV/atom
Magnetic moment   0.00 μB per formula unit
Formation energy from the elements   -0.800 eV per atom


Record 7
The following is a PBE calculation of crystalline TbHo2MgRh4 at its relaxed geometry, from Alexandria. Values from VASP.

```
&SYSTEM
  ibrav = 0, nat = 8, ntyp = 4
/
ATOMIC_SPECIES
Ho 164.93 Ho.upf
Rh 102.91 Rh.upf
Mg 24.30 Mg.upf
Tb 158.93 Tb.upf
CELL_PARAMETERS angstrom
-0.900 -4.610 0.599
3.541 -3.002 0.930
-0.113 -1.355 8.112
ATOMIC_POSITIONS crystal
Ho 0.244 0.244 0.267
Ho 0.756 0.756 0.733
Rh 0.377 0.377 0.870
Rh 0.623 0.623 0.130
Rh 0.125 0.125 0.625
Rh 0.875 0.875 0.375
Mg 0.500 0.500 0.500
Tb 0.000 0.000 0.000
```

## Properties
SG   R-3m (166)
Density of states at the Fermi level   2.36 states/eV/f.u.
E_tot   -6.415 eV/atom
Magnetic moment   0.00 μB per formula unit
Formation energy from the elements   -0.817 eV per atom


Record 8
The following is a PBE calculation of crystalline HoMgTlRh at its relaxed geometry, from Alexandria. Values from VASP.

```
&SYSTEM
  ibrav = 0, nat = 4, ntyp = 4
/
ATOMIC_SPECIES
Ho 164.93 Ho.upf
Mg 24.30 Mg.upf
Rh 102.91 Rh.upf
Tl 204.38 Tl.upf
CELL_PARAMETERS angstrom
3.304 0.000 0.000
0.000 3.304 0.000
0.000 0.000 7.867
ATOMIC_POSITIONS crystal
Ho 0.500 0.500 0.770
Mg 0.500 0.500 0.367
Rh 0.000 0.000 0.557
Tl 0.000 0.000 0.090
```

## Properties
SG   P4mm (99)
Density of states at the Fermi level   1.15 states/eV/f.u.
E_tot   -4.452 eV/atom
Magnetic moment   0.00 μB per formula unit
Formation energy from the elements   -0.480 eV per atom


Record 9
The following is a PBE calculation of crystalline HoMgTlRh at its relaxed geometry, from Alexandria. Values from VASP.

```
&SYSTEM
  ibrav = 0, nat = 4, ntyp = 4
/
ATOMIC_SPECIES
Rh 102.91 Rh.upf
Tl 204.38 Tl.upf
Mg 24.30 Mg.upf
Ho 164.93 Ho.upf
CELL_PARAMETERS angstrom
4.915 0.000 0.000
2.458 4.257 0.000
2.458 1.419 4.013
ATOMIC_POSITIONS crystal
Rh 0.250 0.250 0.250
Tl 0.750 0.750 0.750
Mg 0.500 0.500 0.500
Ho 0.000 0.000 0.000
```

## Properties
SG   F-43m (216)
Density of states at the Fermi level   3.21 states/eV/f.u.
E_tot   -4.334 eV/atom
Magnetic moment   0.00 μB per formula unit
Formation energy from the elements   -0.361 eV per atom


Record 10
The following is a PBE calculation of crystalline Ho2TmMgRh4 at its relaxed geometry, from Alexandria. Values from VASP.

```
&SYSTEM
  ibrav = 0, nat = 8, ntyp = 4
/
ATOMIC_SPECIES
Tm 168.93 Tm.upf
Rh 102.91 Rh.upf
Mg 24.30 Mg.upf
Ho 164.93 Ho.upf
CELL_PARAMETERS angstrom
-1.092 -0.990 -4.478
2.565 -3.134 -2.414
-4.170 -7.028 0.090
ATOMIC_POSITIONS crystal
Tm 0.000 0.000 0.000
Rh 0.624 0.624 0.127
Rh 0.124 0.124 0.627
Rh 0.376 0.376 0.873
Rh 0.876 0.876 0.373
Mg 0.500 0.500 0.500
Ho 0.755 0.755 0.736
Ho 0.245 0.245 0.264
```

## Properties
SG   R-3m (166)
Density of states at the Fermi level   2.16 states/eV/f.u.
E_tot   -6.432 eV/atom
Magnetic moment   0.00 μB per formula unit
Formation energy from the elements   -0.854 eV per atom


Record 11
The following is a PBE calculation of crystalline YHo2MgRh4 at its relaxed geometry, from Alexandria. Values from VASP.

```
&SYSTEM
  ibrav = 0, nat = 8, ntyp = 4
/
ATOMIC_SPECIES
Rh 102.91 Rh.upf
Ho 164.93 Ho.upf
Y 88.91 Y.upf
Mg 24.30 Mg.upf
CELL_PARAMETERS angstrom
-2.665 0.476 -3.881
0.489 -3.040 -3.593
-6.133 -5.445 0.658
ATOMIC_POSITIONS crystal
Rh 0.125 0.125 0.624
Rh 0.623 0.623 0.130
Rh 0.377 0.377 0.870
Rh 0.875 0.875 0.376
Ho 0.245 0.245 0.266
Ho 0.755 0.755 0.734
Y 0.000 0.000 0.000
Mg 0.500 0.500 0.500
```

## Properties
SG   R-3m (166)
Density of states at the Fermi level   2.28 states/eV/f.u.
E_tot   -6.642 eV/atom
Magnetic moment   0.00 μB per formula unit
Formation energy from the elements   -0.814 eV per atom


Record 12
The following is a PBE calculation of crystalline Ho2MgZn2Rh5 at its relaxed geometry, from Alexandria. Values from VASP.

```
&SYSTEM
  ibrav = 0, nat = 20, ntyp = 4
/
ATOMIC_SPECIES
Mg 24.30 Mg.upf
Rh 102.91 Rh.upf
Ho 164.93 Ho.upf
Zn 65.41 Zn.upf
CELL_PARAMETERS angstrom
-0.176 3.531 -0.939
-7.506 1.195 5.893
5.995 2.210 7.188
ATOMIC_POSITIONS crystal
Mg 0.000 0.500 0.500
Mg 0.000 0.000 0.000
Rh 0.500 0.500 0.000
Rh 0.500 0.297 0.570
Rh 0.500 0.930 0.203
Rh 0.500 0.070 0.797
Rh 0.500 0.203 0.070
Rh 0.500 0.000 0.500
Rh 0.500 0.703 0.430
Rh 0.500 0.797 0.930
Rh 0.500 0.570 0.703
Rh 0.500 0.430 0.297
Ho 0.000 0.673 0.173
Ho 0.000 0.827 0.673
Ho 0.000 0.327 0.827
Ho 0.000 0.173 0.327
Zn 0.000 0.375 0.125
Zn 0.000 0.625 0.875
Zn 0.000 0.875 0.375
Zn 0.000 0.125 0.625
```

## Properties
SG   P4/mbm (127)
Density of states at the Fermi level   5.56 states/eV/f.u.
E_tot   -5.589 eV/atom
Magnetic moment   0.00 μB per formula unit
Formation energy from the elements   -0.584 eV per atom